No. 1
This record from the Alexandria database describes SrBeNi after structural relaxation. The functional is PBE-GGA.

The value obtained for the uncorrected energy is -3.65 eV/atom. The formation energy comes out at 78 meV per atom. The excess energy over the best structure of this formula in the dataset is 0.165 eV/atom.

It has space group P-6m2 (No. 187), with a = 3.8822 Å, b = 3.8822 Å, c = 4.5704 Å, α = 90.00°, β = 90.00° and γ = 120.00°. The distinct sites, in fractional coordinates, are Sr at (0.0000, 0.0000, 0.0000), Be at (0.6667, 0.3333, 0.5000) and Ni at (0.3333, 0.6667, 0.5000).

No. 2
This record from the Alexandria database describes MnNi3P after structural relaxation. The functional is PBE-GGA.

The value obtained for the uncorrected energy is -6.57 eV/atom. The formation energy comes out at -186 meV per atom. The excess energy over the best structure of this formula in the dataset is 0.000 eV/atom.

It has space group P4mm (No. 99), with a = 3.546 Å, b = 3.546 Å, c = 5.001 Å, α = 90.00°, β = 90.00° and γ = 90.00°. The distinct sites, in fractional coordinates, are Mn at (0.000, 0.000, 0.000), Ni at (0.000, 0.500, 0.481), Ni at (0.500, 0.500, 0.150) and P at (0.500, 0.500, 0.737).

No. 3
This record from the Alexandria database describes Na4Y3CrS8 after structural relaxation. The functional is PBE-GGA.

The value obtained for the uncorrected energy is -5.78 eV/atom. The formation energy without anion corrections comes out at -25.23 eV/f.u.

It has space group R-3m (No. 166, hexagonal axes), with a = 7.7767 Å, b = 7.7767 Å, c = 20.0277 Å, α = 90.00°, β = 90.00° and γ = 120.00°. The distinct sites, in fractional coordinates, are Na at (0.0000, 0.0000, 0.0000), Na at (0.0000, 0.5000, 0.0000), Y at (0.0000, 0.5000, 0.5000), Cr at (0.0000, 0.0000, 0.5000), S at (0.0000, 0.0000, 0.2435) and S at (0.0238, 0.5119, 0.2391).

No. 4
This record from the Alexandria database describes LaY2Sc after structural relaxation. The functional is PBE-GGA.

The value obtained for the uncorrected energy is -5.98 eV/atom. The formation energy comes out at 62 meV per atom. The excess energy over the best structure of this formula in the dataset is 0.028 eV/atom.

It has space group R-3m (No. 166, hexagonal axes), with a = 3.5550 Å, b = 3.5550 Å, c = 34.4601 Å, α = 90.00°, β = 90.00° and γ = 120.00°. The distinct sites, in fractional coordinates, are La at (0.0000, 0.0000, 0.0000), Y at (0.0000, 0.0000, 0.2452) and Sc at (0.0000, 0.0000, 0.5000).

no.,spin magnetization (μB/f.u.)
1,0.000
2,4.397
3,2.990
4,0.001